Entry 1:
Density functional theory data (PBE-GGA) for In2ReSb after structural relaxation.

Cell: 6.148 6.148 8.270 Å, 68.18 68.18 90.00°
Each line ends with the local moment (μB).
Fractional positions:
Re1 0.000 0.000 0.000  1.74
Re2 0.750 0.250 0.500  1.75
In1 0.655 0.125 0.250  -0.05
In2 0.875 0.905 0.750  -0.05
In3 0.375 0.345 0.750  -0.05
In4 0.095 0.625 0.250  -0.05
Sb1 0.500 0.500 0.000  0.03
Sb2 0.250 0.750 0.500  0.04

Computed properties:
E_form (uncorrected) ... 4.8 eV per formula unit
Volume ... 265.9 Å³ per cell
Electronic total energy ... -4.31 eV/atom
Space group ... I-42d (122)

***

Entry 2:
Density functional theory data (PBE-GGA) for YMgZnCo after structural relaxation.

Cell: 4.707 4.707 4.707 Å, 60.00 60.00 60.00°
Each line ends with the local moment (μB).
Fractional positions:
Co1 0.500 0.500 0.500  0.86
Mg1 0.250 0.250 0.250  0.00
Zn1 0.000 0.000 0.000  0.00
Y1 0.750 0.750 0.750  -0.06

Computed properties:
Volume ... 73.8 Å³ per cell
Electronic total energy ... -4.19 eV/atom
Space group ... F-43m (216)
Energy of formation from the pure elements ... -78 meV/atom